No. 1
AlZnSb3 | GGA-PBE | optimized geometry

Summary:
raw total energy: -14.2 eV/cell
calculated density: 5127 kg/m3
E above lowest polymorph: 0.0 kJ/mol of atoms
Fermi-level density of states: 2.7 states/eV/cell

Cell lengths 5.2925, 5.2925, 5.2925 Å; angles 90.00, 90.00, 90.00 degrees
Element x y z (fractional)
Al1 0.0000 0.0000 0.0000
Zn1 0.5000 0.5000 0.5000
Sb1 0.0000 0.0000 0.5000
Sb2 0.0000 0.5000 0.0000
Sb3 0.5000 0.0000 0.0000

---

No. 2
AlZnSb | GGA-PBE | optimized geometry

Summary:
raw total energy: -8.5 eV/cell
calculated density: 5731 kg/m3
E above lowest polymorph: 7.6 kJ/mol of atoms
Fermi-level density of states: 1.1 states/eV/cell

Cell lengths 6.4931, 6.4931, 6.4931 Å; angles 151.54, 151.54, 40.69 degrees
Element x y z (fractional)
Al1 0.0000 0.0000 0.0000
Zn1 0.3688 0.3688 0.0000
Sb1 0.6787 0.6787 0.0000

---

No. 3
Zr2AlSb | GGA-PBE | optimized geometry

Summary:
raw total energy: -26.7 eV/cell
calculated density: 6481 kg/m3
E above lowest polymorph: 13.1 kJ/mol of atoms
Fermi-level density of states: 2.4 states/eV/cell

Cell lengths 3.2414, 4.1837, 6.3427 Å; angles 90.00, 99.42, 90.00 degrees
Element x y z (fractional)
Zr1 0.0146 0.0000 0.2419
Zr2 0.9854 0.0000 0.7581
Al1 0.5000 0.5000 0.0000
Sb1 0.5000 0.5000 0.5000

---

No. 4
ZrAl2Sb | GGA-PBE | optimized geometry

Summary:
raw total energy: -20.3 eV/cell
calculated density: 5283 kg/m3
Fermi-level density of states: 2.5 states/eV/cell

Cell lengths 3.0691, 3.0691, 8.9336 Å; angles 90.00, 90.00, 94.36 degrees
Element x y z (fractional)
Zr1 0.0000 0.0000 0.0000
Al1 0.5000 0.5000 0.2304
Al2 0.5000 0.5000 0.7696
Sb1 0.0000 0.0000 0.5000

---

No. 5
Zr10Al3Sb3 | GGA-PBE | optimized geometry

Summary:
raw total energy: -118.3 eV/cell
calculated density: 6466 kg/m3
Fermi-level density of states: 6.4 states/eV/cell

Cell lengths 8.3907, 8.3907, 5.7219 Å; angles 90.00, 90.00, 120.00 degrees
Element x y z (fractional)
Zr1 0.0000 0.2442 0.0000
Zr2 0.0000 0.7504 0.5000
Zr3 0.2442 0.0000 0.0000
Zr4 0.2496 0.2496 0.5000
Zr5 0.3333 0.6667 0.2570
Zr6 0.3333 0.6667 0.7430
Zr7 0.6667 0.3333 0.2570
Zr8 0.6667 0.3333 0.7430
Zr9 0.7504 0.0000 0.5000
Zr10 0.7558 0.7558 0.0000
Al1 0.0000 0.3895 0.5000
Al2 0.3895 0.0000 0.5000
Al3 0.6105 0.6105 0.5000
Sb1 0.0000 0.6034 0.0000
Sb2 0.3966 0.3966 0.0000
Sb3 0.6034 0.0000 0.0000

---

No. 6
ZrAlSb2 | GGA-PBE | optimized geometry

Summary:
raw total energy: -19.8 eV/cell
calculated density: 6361 kg/m3
Fermi-level density of states: 4.0 states/eV/cell

Cell lengths 5.1115, 5.1115, 5.1115 Å; angles 60.00, 60.00, 60.00 degrees
Element x y z (fractional)
Zr1 0.0000 0.0000 0.0000
Al1 0.7500 0.7500 0.7500
Sb1 0.2500 0.2500 0.2500
Sb2 0.5000 0.5000 0.5000

---

No. 7
Zr2AlSb | GGA-PBE | optimized geometry

Summary:
raw total energy: -49.8 eV/cell
calculated density: 5945 kg/m3
E above lowest polymorph: 55.3 kJ/mol of atoms
Fermi-level density of states: 7.0 states/eV/cell

Cell lengths 10.8408, 10.8408, 10.8408 Å; angles 157.59, 157.59, 31.90 degrees
Element x y z (fractional)
Zr1 0.1236 0.6250 0.9986
Zr2 0.3750 0.3736 0.4986
Zr3 0.6264 0.1250 0.0014
Zr4 0.8750 0.8764 0.5014
Al1 0.0000 0.0000 0.0000
Al2 0.7500 0.2500 0.5000
Sb1 0.2500 0.7500 0.5000
Sb2 0.5000 0.5000 0.0000

---

No. 8
ZrAl2Sb | GGA-PBE | optimized geometry

Summary:
raw total energy: -20.6 eV/cell
calculated density: 5398 kg/m3
Fermi-level density of states: 2.8 states/eV/cell

Cell lengths 3.0394, 5.0000, 5.4033 Å; angles 90.00, 90.02, 90.00 degrees
Element x y z (fractional)
Zr1 0.0000 0.0000 0.0000
Al1 0.4976 0.5000 0.7637
Al2 0.5024 0.5000 0.2364
Sb1 0.5000 0.0000 0.5000

---

No. 9
ZrAl2Sb | GGA-PBE | optimized geometry

Summary:
raw total energy: -19.7 eV/cell
calculated density: 5263 kg/m3
Fermi-level density of states: 3.1 states/eV/cell

Cell lengths 4.9202, 4.9202, 4.9202 Å; angles 60.00, 60.00, 60.00 degrees
Element x y z (fractional)
Zr1 0.0000 0.0000 0.0000
Al1 0.5000 0.5000 0.5000
Al2 0.7500 0.7500 0.7500
Sb1 0.2500 0.2500 0.2500

---

No. 10
ZrAl2Sb | GGA-PBE | optimized geometry

Summary:
raw total energy: -21.0 eV/cell
calculated density: 5581 kg/m3
Fermi-level density of states: 1.8 states/eV/cell

Cell lengths 4.0276, 4.3665, 4.5162 Å; angles 90.00, 90.00, 90.00 degrees
Element x y z (fractional)
Zr1 0.0000 0.0000 0.0000
Al1 0.5000 0.0000 0.5000
Al2 0.5000 0.5000 0.0000
Sb1 0.0000 0.5000 0.5000

---

No. 11
Zr2AlSb | GGA-PBE | optimized geometry

Summary:
raw total energy: -25.8 eV/cell
calculated density: 6283 kg/m3
E above lowest polymorph: 34.0 kJ/mol of atoms
Fermi-level density of states: 5.3 states/eV/cell

Cell lengths 9.7903, 9.7903, 9.7903 Å; angles 19.07, 19.07, 19.07 degrees
Element x y z (fractional)
Zr1 0.2485 0.2485 0.2485
Zr2 0.7515 0.7515 0.7515
Al1 0.5000 0.5000 0.5000
Sb1 0.0000 0.0000 0.0000

---

No. 12
Zr2AlSb2 | GGA-PBE | optimized geometry

Summary:
raw total energy: -61.0 eV/cell
calculated density: 6464 kg/m3
E above lowest polymorph: 12.8 kJ/mol of atoms
Fermi-level density of states: 7.3 states/eV/cell

Cell lengths 7.8468, 7.8468, 3.7798 Å; angles 90.00, 90.00, 90.00 degrees
Element x y z (fractional)
Zr1 0.1458 0.3542 0.0000
Zr2 0.3542 0.8542 0.0000
Zr3 0.6458 0.1458 0.0000
Zr4 0.8542 0.6458 0.0000
Al1 0.0000 0.0000 0.5000
Al2 0.5000 0.5000 0.5000
Sb1 0.1491 0.6491 0.5000
Sb2 0.3509 0.1491 0.5000
Sb3 0.6491 0.8509 0.5000
Sb4 0.8509 0.3509 0.5000

---

No. 13
Zr8Al2Sb | GGA-PBE | optimized geometry

Summary:
raw total energy: -81.9 eV/cell
calculated density: 6087 kg/m3
Fermi-level density of states: 10.8 states/eV/cell

Cell lengths 7.6747, 7.6747, 5.2192 Å; angles 102.43, 102.43, 117.86 degrees
Element x y z (fractional)
Zr1 0.0832 0.3194 0.6256
Zr2 0.2267 0.7733 0.0000
Zr3 0.3194 0.0832 0.6256
Zr4 0.4112 0.4112 0.2040
Zr5 0.5888 0.5888 0.7960
Zr6 0.6806 0.9168 0.3744
Zr7 0.7733 0.2267 0.0000
Zr8 0.9168 0.6806 0.3744
Al1 0.3069 0.6931 0.5000
Al2 0.6931 0.3069 0.5000
Sb1 0.0000 0.0000 0.0000

---

No. 14
Zr2Al2Sb | GGA-PBE | optimized geometry

Summary:
raw total energy: -60.4 eV/cell
calculated density: 5798 kg/m3
E above lowest polymorph: 0.0 kJ/mol of atoms
Fermi-level density of states: 9.3 states/eV/cell

Cell lengths 7.1992, 7.1992, 3.9582 Å; angles 90.00, 90.00, 90.00 degrees
Element x y z (fractional)
Zr1 0.1785 0.3215 0.0000
Zr2 0.3215 0.8215 0.0000
Zr3 0.6785 0.1785 0.0000
Zr4 0.8215 0.6785 0.0000
Al1 0.1217 0.6217 0.5000
Al2 0.3783 0.1217 0.5000
Al3 0.6217 0.8783 0.5000
Al4 0.8783 0.3783 0.5000
Sb1 0.0000 0.0000 0.5000
Sb2 0.5000 0.5000 0.5000

---

No. 15
Zr2AlSb | GGA-PBE | optimized geometry

Summary:
raw total energy: -26.5 eV/cell
calculated density: 6277 kg/m3
E above lowest polymorph: 16.5 kJ/mol of atoms
Fermi-level density of states: 2.9 states/eV/cell

Cell lengths 3.8435, 3.8435, 5.9306 Å; angles 90.00, 90.00, 90.00 degrees
Element x y z (fractional)
Zr1 0.0000 0.0000 0.0000
Zr2 0.5000 0.5000 0.2620
Al1 0.0000 0.0000 0.4799
Sb1 0.5000 0.5000 0.7623

---

No. 16
Zr2AlSb | GGA-PBE | optimized geometry

Summary:
raw total energy: -25.2 eV/cell
calculated density: 6039 kg/m3
E above lowest polymorph: 47.1 kJ/mol of atoms
Fermi-level density of states: 3.7 states/eV/cell

Cell lengths 9.9545, 9.9545, 9.9545 Å; angles 18.97, 18.97, 18.97 degrees
Element x y z (fractional)
Zr1 0.0000 0.0000 0.0000
Zr2 0.2468 0.2468 0.2468
Al1 0.7459 0.7459 0.7459
Sb1 0.4965 0.4965 0.4965

---

No. 17
ZrAlSb | GGA-PBE | optimized geometry

Summary:
raw total energy: -16.8 eV/cell
calculated density: 6259 kg/m3
Fermi-level density of states: 1.4 states/eV/cell

Cell lengths 4.9756, 4.9756, 2.9694 Å; angles 90.00, 90.00, 120.00 degrees
Element x y z (fractional)
Zr1 0.0000 0.0000 0.0000
Al1 0.6667 0.3333 0.5000
Sb1 0.3333 0.6667 0.5000

---

No. 18
ZrAlSb2 | GGA-PBE | optimized geometry

Summary:
raw total energy: -21.0 eV/cell
calculated density: 6686 kg/m3
Fermi-level density of states: 3.7 states/eV/cell

Cell lengths 4.8974, 4.8974, 3.7455 Å; angles 90.00, 90.00, 90.00 degrees
Element x y z (fractional)
Zr1 0.0000 0.0000 0.0000
Al1 0.5000 0.5000 0.0000
Sb1 0.0000 0.5000 0.5000
Sb2 0.5000 0.0000 0.5000

---

No. 19
Zr2AlSb | GGA-PBE | optimized geometry

Summary:
raw total energy: -24.9 eV/cell
calculated density: 6441 kg/m3
E above lowest polymorph: 56.4 kJ/mol of atoms
Fermi-level density of states: 4.8 states/eV/cell

Cell lengths 4.9427, 4.9427, 4.9427 Å; angles 60.00, 60.00, 60.00 degrees
Element x y z (fractional)
Zr1 0.0000 0.0000 0.0000
Zr2 0.2500 0.2500 0.2500
Al1 0.5000 0.5000 0.5000
Sb1 0.7500 0.7500 0.7500

---

No. 20
ZrAlSb2 | GGA-PBE | optimized geometry

Summary:
raw total energy: -21.1 eV/cell
calculated density: 6598 kg/m3
Fermi-level density of states: 2.5 states/eV/cell

Cell lengths 5.8872, 5.8872, 5.3440 Å; angles 103.72, 103.72, 30.47 degrees
Element x y z (fractional)
Zr1 0.0000 0.0000 0.0000
Al1 0.7069 0.7069 0.3417
Sb1 0.2438 0.2438 0.8483
Sb2 0.4507 0.4507 0.4720

---

No. 21
ZrAlSb | GGA-PBE | optimized geometry

Summary:
raw total energy: -35.3 eV/cell
calculated density: 5979 kg/m3
Fermi-level density of states: 4.4 states/eV/cell

Cell lengths 3.9929, 3.9929, 8.3608 Å; angles 90.00, 90.00, 90.00 degrees
Element x y z (fractional)
Zr1 0.2500 0.2500 0.2287
Zr2 0.7500 0.7500 0.7713
Al1 0.2500 0.7500 0.5000
Al2 0.7500 0.2500 0.5000
Sb1 0.2500 0.2500 0.8515
Sb2 0.7500 0.7500 0.1485

---

No. 22
ZrAlSb | GGA-PBE | optimized geometry

Summary:
raw total energy: -16.8 eV/cell
calculated density: 6004 kg/m3
Fermi-level density of states: 2.8 states/eV/cell

Cell lengths 3.2770, 3.2770, 7.1367 Å; angles 90.00, 90.00, 120.00 degrees
Element x y z (fractional)
Zr1 0.0000 0.0000 0.0000
Al1 0.6667 0.3333 0.3142
Sb1 0.3333 0.6667 0.6602

---

No. 23
ZrAlSb2 | GGA-PBE | optimized geometry

Summary:
raw total energy: -20.5 eV/cell
calculated density: 6127 kg/m3
Fermi-level density of states: 3.7 states/eV/cell

Cell lengths 10.7439, 10.7439, 10.7439 Å; angles 17.52, 17.52, 17.52 degrees
Element x y z (fractional)
Zr1 0.0000 0.0000 0.0000
Al1 0.5000 0.5000 0.5000
Sb1 0.2565 0.2565 0.2565
Sb2 0.7435 0.7435 0.7435

---

No. 24
ZrAlSb | GGA-PBE | optimized geometry

Summary:
raw total energy: -17.5 eV/cell
calculated density: 6354 kg/m3
Fermi-level density of states: 2.6 states/eV/cell

Cell lengths 5.4572, 5.4572, 5.4572 Å; angles 143.07, 139.67, 55.82 degrees
Element x y z (fractional)
Zr1 0.0000 0.0000 0.0000
Al1 0.6609 0.6609 0.0000
Sb1 0.3276 0.3276 0.0000

---

No. 25
ZrAlSb2 | GGA-PBE | optimized geometry

Summary:
raw total energy: -21.6 eV/cell
calculated density: 6601 kg/m3
Fermi-level density of states: 2.4 states/eV/cell

Cell lengths 3.8429, 3.8429, 6.1611 Å; angles 90.00, 90.00, 90.00 degrees
Element x y z (fractional)
Zr1 0.0000 0.0000 0.0000
Al1 0.0000 0.0000 0.5000
Sb1 0.5000 0.5000 0.2445
Sb2 0.5000 0.5000 0.7555

---

No. 26
ZrAlSb2 | GGA-PBE | optimized geometry

Summary:
raw total energy: -21.7 eV/cell
calculated density: 6632 kg/m3
Fermi-level density of states: 1.9 states/eV/cell

Cell lengths 3.8136, 3.8313, 6.2519 Å; angles 90.00, 97.45, 90.00 degrees
Element x y z (fractional)
Zr1 0.0000 0.0000 0.0000
Al1 0.0000 0.0000 0.5000
Sb1 0.4666 0.5000 0.7549
Sb2 0.5334 0.5000 0.2451

---

No. 27
ZrAlSb2 | GGA-PBE | optimized geometry

Summary:
raw total energy: -21.1 eV/cell
calculated density: 6584 kg/m3
Fermi-level density of states: 2.4 states/eV/cell

Cell lengths 5.9437, 5.9437, 5.9437 Å; angles 138.50, 138.50, 60.13 degrees
Element x y z (fractional)
Zr1 0.0000 0.0000 0.0000
Al1 0.2500 0.7500 0.5000
Sb1 0.5000 0.5000 0.0000
Sb2 0.7500 0.2500 0.5000

---

No. 28
ZrAl2Sb | GGA-PBE | optimized geometry

Summary:
raw total energy: -21.1 eV/cell
calculated density: 5587 kg/m3
Fermi-level density of states: 3.0 states/eV/cell

Cell lengths 5.5616, 5.5616, 5.5616 Å; angles 136.89, 136.89, 62.60 degrees
Element x y z (fractional)
Zr1 0.0000 0.0000 0.0000
Al1 0.2500 0.7500 0.5000
Al2 0.7500 0.2500 0.5000
Sb1 0.5000 0.5000 0.0000